# InPd15Pb4 | Alexandria | GGA-PBE | relaxed
# DOS at the Fermi energy: 11.428 states/eV/f.u.
# Calculated formation energy: -0.317 eV/atom
# M_tot: 0.00 μB/cell
# Electronic total energy: -101.81 eV per cell
# V: 343.5 Å³/cell
# ρ: 12.28 g/cm3
data_InPd15Pb4
_space_group_name_H-M_alt 'P 4/m m m'
_space_group_IT_number 123
_space_group_name_Hall '-P 4 2'
_cell_length_a 4.0954
_cell_length_b 4.0954
_cell_length_c 20.4803
_cell_angle_alpha 90.00
_cell_angle_beta 90.00
_cell_angle_gamma 90.00
loop_
_atom_site_label
_atom_site_type_symbol
_atom_site_fract_x
_atom_site_fract_y
_atom_site_fract_z
In1 In 0.0000 0.0000 0.0000
Pd1 Pd 0.0000 0.5000 0.0968
Pd2 Pd 0.0000 0.5000 0.2985
Pd3 Pd 0.0000 0.5000 0.5000
Pd4 Pd 0.5000 0.5000 0.0000
Pd5 Pd 0.5000 0.5000 0.1986
Pd6 Pd 0.5000 0.5000 0.3995
Pb1 Pb 0.0000 0.0000 0.1966
Pb2 Pb 0.0000 0.0000 0.3989